# Sr12Cd2Sn5 | the Alexandria database | PBE | optimized geometry
# E: -2.620 eV per atom
# N(E_F): 22.78 states/eV/cell
# ΔE_f: -408.1 meV/atom
data_Sr12Cd2Sn5
_symmetry_space_group_name_H-M 'C 1 2/m 1'
_symmetry_Int_Tables_number 12
_cell_length_a 18.5742
_cell_length_b 8.1101
_cell_length_c 10.9929
_cell_angle_alpha 90.00
_cell_angle_beta 100.94
_cell_angle_gamma 90.00
loop_
_symmetry_equiv_pos_as_xyz
'x,y,z'
'-x,-y,-z'
'-x,y,-z'
'x,-y,z'
'x+1/2,y+1/2,z'
'-x+1/2,-y+1/2,-z'
'-x+1/2,y+1/2,-z'
'x+1/2,-y+1/2,z'
loop_
_atom_site_label
_atom_site_fract_x
_atom_site_fract_y
_atom_site_fract_z
Sr1 0.0153 0.0000 0.2904
Sr2 0.0325 0.5000 0.8137
Sr3 0.1551 0.2536 0.5746
Sr4 0.1807 0.2433 0.1166
Cd1 0.0000 0.1797 0.0000
Sn1 0.0000 0.5000 0.5000
Sn2 0.1647 0.0000 0.8461
Sn3 0.1969 0.0000 0.3601